(1)
Entry from the Alexandria database: crystalline Pr2PuZn2Rh5 at its relaxed geometry (PBE).

```
Pr2PuZn2Rh5
1.0
-1.9300 -2.8745 1.4101
8.3165 -5.5005 0.1697
1.9442 3.2245 9.2342
Zn Rh Pr Pu
4 10 4 2
Direct
0.0000 0.6227 0.8773
0.0000 0.3773 0.1227
0.0000 0.8773 0.3773
0.0000 0.1227 0.6227
0.5000 0.4330 0.2936
0.5000 0.7064 0.4330
0.5000 0.5670 0.7064
0.5000 0.5000 0.0000
0.5000 0.0000 0.5000
0.5000 0.2064 0.0670
0.5000 0.2936 0.5670
0.5000 0.0670 0.7936
0.5000 0.7936 0.9330
0.5000 0.9330 0.2064
0.0000 0.8272 0.6728
0.0000 0.1728 0.3272
0.0000 0.3272 0.8272
0.0000 0.6728 0.1728
0.0000 0.5000 0.5000
0.0000 0.0000 0.0000
```

Properties
formation energy	-0.5447	eV/atom
spin magnetization	4.45	μB/f.u.
total energy	-6.86	eV/atom
space-group type	P4/mbm (127)

***

(2)
Entry from the Alexandria database: crystalline HfTcNi2B at its relaxed geometry (PBE).

```
HfTcNi2B
1.0
-3.7029 -0.0785 1.2791
1.0236 -2.5342 2.8078
0.8174 3.1673 2.5607
Hf Ni Tc B
1 2 1 1
Direct
0.5000 0.5000 0.5000
0.0000 0.5000 0.0000
0.5000 0.0000 0.0000
0.0000 0.0000 0.5000
0.0000 0.0000 0.0000
```

Properties
formation energy	-0.4438	eV/atom
spin magnetization	0.00	μB/f.u.
total energy	-8.16	eV/atom
space-group type	P4/mmm (123)

***

(3)
Entry from the Alexandria database: crystalline PaVRe at its relaxed geometry (PBE).

```
PaVRe
1.0
-3.5117 -2.9472 1.8416
0.9778 -2.3580 4.7183
-2.8985 1.8776 4.1051
Re Pa V
2 2 2
Direct
0.5000 0.0000 0.5000
0.5000 0.5000 0.0000
0.1312 0.6188 0.6188
0.8688 0.3812 0.3812
0.0000 0.0000 0.0000
0.5000 0.0000 0.0000
```

Properties
formation energy	-0.1354	eV/atom
spin magnetization	0.00	μB/f.u.
total energy	-10.49	eV/atom
E above lowest polymorph	0	meV/atom
space-group type	Imma (74)

***

(4)
Entry from the Alexandria database: crystalline GdZnNiSn at its relaxed geometry (PBE).

```
GdZnNiSn
1.0
-1.9259 3.1133 -3.0171
-3.1252 -1.4705 -3.2519
-4.5775 1.1768 0.4069
Zn Ni Sn Gd
1 1 1 1
Direct
0.0000 0.0000 0.0000
0.5000 0.5000 0.5000
0.2500 0.2500 0.2500
0.7500 0.7500 0.7500
```

Properties
formation energy	-0.3750	eV/atom
spin magnetization	6.91	μB/f.u.
total energy	-6.66	eV/atom
space-group type	F-43m (216)

***

(5)
Entry from the Alexandria database: crystalline GeAs2BrN at its relaxed geometry (PBE).

```
GeAs2BrN
1.0
5.0819 0.0000 0.0000
0.0000 5.0819 0.0000
0.0000 0.0000 5.4147
Ge As Br N
1 2 1 1
Direct
0.0000 0.0000 0.0000
0.5000 0.0000 0.0000
0.0000 0.5000 0.0000
0.0000 0.0000 0.5000
0.5000 0.5000 0.5000
```

Properties
formation energy from raw total energies	1.550	eV/atom
spin magnetization	0.99	μB/f.u.
total energy	-3.23	eV/atom
E above lowest polymorph	626	meV/atom
space-group type	P4/mmm (123)

***

(6)
Entry from the Alexandria database: crystalline Ce5ErRh4 at its relaxed geometry (PBE).

```
Ce5ErRh4
1.0
4.4411 0.0000 0.0000
0.0000 6.7601 0.9926
-2.2205 0.0868 7.6383
Ce Rh Er
5 4 1
Direct
0.5000 0.5000 0.0000
0.8105 0.5058 0.6209
0.1687 0.9205 0.3373
0.8313 0.0795 0.6627
0.1895 0.4942 0.3791
0.6559 0.2193 0.3118
0.0120 0.2582 0.0240
0.3441 0.7807 0.6882
0.9880 0.7418 0.9760
0.5000 0.0000 0.0000
```

Properties
formation energy	-0.5663	eV/atom
spin magnetization	0.84	μB/f.u.
total energy	-6.93	eV/atom
space-group type	C2/m (12)

***

(7)
Entry from the Alexandria database: crystalline CsUCl2F8 at its relaxed geometry (PBE).

```
CsUCl2F8
1.0
6.1789 0.0000 0.0000
-3.0894 5.3511 0.0000
0.0000 0.0000 8.4304
F Cl U Cs
8 2 1 1
Direct
0.1536 0.3072 0.1492
0.6667 0.3333 0.5391
0.8464 0.6928 0.8508
0.1536 0.8464 0.1492
0.8464 0.1536 0.8508
0.6928 0.8464 0.1492
0.3333 0.6667 0.4609
0.3072 0.1536 0.8508
0.3333 0.6667 0.6639
0.6667 0.3333 0.3361
0.0000 0.0000 0.0000
0.0000 0.0000 0.5000
```

Properties
formation energy from raw total energies	-2.350	eV/atom
spin magnetization	1.06	μB/f.u.
total energy	-4.92	eV/atom
space-group type	P-3m1 (164)

***

(8)
Entry from the Alexandria database: crystalline BeB2Mo4 at its relaxed geometry (PBE).

```
BeB2Mo4
1.0
-0.1166 -1.8380 -3.6681
2.5017 -3.1555 -0.7948
-3.4415 -5.5471 0.5925
Mo B Be
4 2 1
Direct
0.7783 0.7783 0.6652
0.2217 0.2217 0.3348
0.3895 0.3895 0.8316
0.6105 0.6105 0.1684
0.1021 0.1021 0.6937
0.8979 0.8979 0.3063
0.0000 0.0000 0.0000
```

Properties
formation energy	0.1964	eV/atom
spin magnetization	0.00	μB/f.u.
total energy	-8.43	eV/atom
space-group type	R-3m (166)

***

(9)
Entry from the Alexandria database: crystalline ScPPt at its relaxed geometry (PBE).

```
ScPPt
1.0
-3.6943 0.5265 0.9721
-1.5413 -5.8758 -2.6755
1.2557 -3.3215 6.5712
Pt P Sc
4 4 4
Direct
0.7500 0.1533 0.0608
0.7500 0.6533 0.4392
0.2500 0.8467 0.9392
0.2500 0.3467 0.5608
0.2500 0.2554 0.8743
0.7500 0.2446 0.3743
0.2500 0.7554 0.6257
0.7500 0.7446 0.1257
0.7500 0.5311 0.8192
0.7500 0.0311 0.6808
0.2500 0.4689 0.1808
0.2500 0.9689 0.3192
```

Properties
formation energy	-1.2523	eV/atom
spin magnetization	0.00	μB/f.u.
total energy	-7.18	eV/atom
space-group type	Pnma (62)

***

(10)
Entry from the Alexandria database: crystalline CoSnN2 at its relaxed geometry (PBE).

```
CoSnN2
1.0
5.5187 0.0000 0.0000
0.0000 5.6940 0.0000
0.0000 0.0000 6.7178
Co Sn N
4 4 8
Direct
0.4995 0.9263 0.3714
0.4995 0.4263 0.1286
0.9995 0.0737 0.6286
0.9995 0.5737 0.8714
0.0030 0.5928 0.3740
0.5030 0.4072 0.6260
0.5030 0.9072 0.8740
0.0030 0.0928 0.1260
0.8419 0.4416 0.0976
0.9056 0.3945 0.6450
0.3419 0.5584 0.9024
0.3419 0.0584 0.5976
0.9056 0.8945 0.8550
0.4056 0.6055 0.3550
0.4056 0.1055 0.1450
0.8419 0.9416 0.4024
```

Properties
formation energy from raw total energies	0.440	eV/atom
spin magnetization	1.04	μB/f.u.
total energy	-6.50	eV/atom
space-group type	Pna2_1 (33)

***

(11)
Entry from the Alexandria database: crystalline ScCr2Pb2 at its relaxed geometry (PBE).

```
ScCr2Pb2
1.0
-1.5651 -3.2940 3.2535
4.5841 -0.6213 1.5763
0.9270 1.2352 5.3672
Cr Sc Pb
2 1 2
Direct
0.6039 0.6039 0.7922
0.3961 0.3961 0.2078
0.0000 0.0000 0.0000
0.7500 0.2500 0.5000
0.2500 0.7500 0.5000
```

Properties
formation energy	0.4211	eV/atom
spin magnetization	0.00	μB/f.u.
total energy	-6.18	eV/atom
E above lowest polymorph	0	meV/atom
space-group type	I4/mmm (139)

***

(12)
Entry from the Alexandria database: crystalline Nb2MoI at its relaxed geometry (PBE).

```
Nb2MoI
1.0
0.0000 3.3476 3.3476
3.3476 0.0000 3.3476
3.3476 3.3476 0.0000
Nb I Mo
2 1 1
Direct
0.7500 0.7500 0.7500
0.2500 0.2500 0.2500
0.5000 0.5000 0.5000
0.0000 0.0000 0.0000
```

Properties
formation energy from raw total energies	0.743	eV/atom
spin magnetization	0.00	μB/f.u.
total energy	-7.39	eV/atom
E above lowest polymorph	0	meV/atom
space-group type	Fm-3m (225)